<A>
Here is crystalline TiTe2OsI at its relaxed geometry from the Alexandria database. Energies are from PBE.

Output
Total magnetization   0.031 μB/atom
Symmetry   P4/mmm, No. 123
DOS at the Fermi energy   9.4 states/eV/cell

POSCAR file:
```
TiTe2OsI
1.0
-5.1263 -0.2221 -0.8021
0.6391 -4.2567 -2.9058
-0.5511 -3.0665 4.3710
Ti I Os Te
1 1 1 2
direct
0.5000 0.5000 0.5000
0.0000 0.0000 0.5000
0.0000 0.0000 0.0000
0.5000 0.0000 0.0000
0.0000 0.5000 0.0000
```

<B>
Here is crystalline TiTe2OsI at its relaxed geometry from the Alexandria database. Energies are from PBE.

Output
Total magnetization   0.876 μB/atom
Symmetry   P4/mmm, No. 123
DOS at the Fermi energy   6.3 states/eV/cell

POSCAR file:
```
TiTe2OsI
1.0
-3.9821 -0.4220 -3.4699
-2.5937 -3.1694 3.3620
-2.4096 4.3447 2.2369
Te Ti I Os
2 1 1 1
direct
0.0000 0.5000 0.0000
0.5000 0.0000 0.0000
0.0000 0.0000 0.0000
0.0000 0.0000 0.5000
0.5000 0.5000 0.5000
```

Most stable pick: <A>. Distance to second place: 153 meV/atom.